[1]
Here is a geometry-optimized K2SmCd2S4 structure from Alexandria via LeMat-Bulk. Energies are from PBE.

Properties
The crystal system is monoclinic. The formation energy from raw total energies is -1.12 eV/atom.

Cell and atoms, written as CIF:
```
data_K2SmCd2S4
_chemical_formula_sum 'K4 Sm2 Cd4 S8'
_symmetry_space_group_name_H-M 'C 1 2/m 1'
_symmetry_Int_Tables_number 12
_cell_length_a 16.314
_cell_length_b 4.065
_cell_length_c 8.091
_cell_angle_alpha 90.00
_cell_angle_beta 114.38
_cell_angle_gamma 90.00
loop_
_symmetry_equiv_pos_as_xyz
'x,y,z'
'-x,-y,-z'
'-x,y,-z'
'x,-y,z'
'x+1/2,y+1/2,z'
'-x+1/2,-y+1/2,-z'
'-x+1/2,y+1/2,-z'
'x+1/2,-y+1/2,z'
loop_
_atom_site_label
_atom_site_fract_x
_atom_site_fract_y
_atom_site_fract_z
K1 0.125 0.000 0.053
Sm1 0.000 0.000 0.500
Cd1 0.187 0.500 0.523
S1 0.024 0.500 0.277
S2 0.189 0.000 0.728
```

=====

[2]
Here is a geometry-optimized KSmCdS3 structure from Alexandria via LeMat-Bulk. Energies are from PBE.

Properties
The crystal system is monoclinic. The formation energy from raw total energies is -1.38 eV/atom.

Cell and atoms, written as CIF:
```
data_KSmCdS3
_chemical_formula_sum 'K2 Sm2 Cd2 S6'
_symmetry_space_group_name_H-M 'P 1 21/m 1'
_symmetry_Int_Tables_number 11
_cell_length_a 8.707
_cell_length_b 4.191
_cell_length_c 10.024
_cell_angle_alpha 90.00
_cell_angle_beta 106.27
_cell_angle_gamma 90.00
loop_
_symmetry_equiv_pos_as_xyz
'x,y,z'
'-x,-y,-z'
'-x,y+1/2,-z'
'x,-y+1/2,z'
loop_
_atom_site_label
_atom_site_fract_x
_atom_site_fract_y
_atom_site_fract_z
K1 0.204 0.250 0.215
Sm1 0.331 0.750 0.862
Cd1 0.086 0.250 0.610
S1 0.109 0.250 0.865
S2 0.220 0.750 0.544
S3 0.456 0.750 0.145
```

=====

[3]
Here is a geometry-optimized K2CdSnS4 structure from Alexandria via LeMat-Bulk. Energies are from PBE.

Properties
The crystal system is monoclinic. The formation energy from raw total energies is -0.86 eV/atom.

Cell and atoms, written as CIF:
```
data_K2CdSnS4
_chemical_formula_sum 'K16 Cd8 Sn8 S32'
_symmetry_space_group_name_H-M 'C 1 2/c 1'
_symmetry_Int_Tables_number 15
_cell_length_a 11.226
_cell_length_b 11.105
_cell_length_c 15.145
_cell_angle_alpha 90.00
_cell_angle_beta 97.01
_cell_angle_gamma 90.00
loop_
_symmetry_equiv_pos_as_xyz
'x,y,z'
'-x,-y,-z'
'-x,y,-z+1/2'
'x,-y,z+1/2'
'x+1/2,y+1/2,z'
'-x+1/2,-y+1/2,-z'
'-x+1/2,y+1/2,-z+1/2'
'x+1/2,-y+1/2,z+1/2'
loop_
_atom_site_label
_atom_site_fract_x
_atom_site_fract_y
_atom_site_fract_z
K1 0.019 0.167 0.384
K2 0.224 0.410 0.121
Cd1 0.137 0.460 0.838
Sn1 0.099 0.202 0.645
S1 0.000 0.074 0.750
S2 0.000 0.397 0.250
S3 0.062 0.303 0.945
S4 0.182 0.048 0.559
S5 0.247 0.328 0.727
```

=====

[4]
Here is a geometry-optimized K2TaCdS4 structure from Alexandria via LeMat-Bulk. Energies are from PBE.

Properties
The crystal system is tetragonal. The formation energy from raw total energies is -0.94 eV/atom.

Cell and atoms, written as CIF:
```
data_K2TaCdS4
_chemical_formula_sum 'K4 Ta2 Cd2 S8'
_symmetry_space_group_name_H-M 'I -4'
_symmetry_Int_Tables_number 82
_cell_length_a 7.542
_cell_length_b 7.542
_cell_length_c 8.447
_cell_angle_alpha 90.00
_cell_angle_beta 90.00
_cell_angle_gamma 90.00
loop_
_symmetry_equiv_pos_as_xyz
'x,y,z'
'y,-x,-z'
'-x,-y,z'
'-y,x,-z'
'x+1/2,y+1/2,z+1/2'
'y+1/2,-x+1/2,-z+1/2'
'-x+1/2,-y+1/2,z+1/2'
'-y+1/2,x+1/2,-z+1/2'
loop_
_atom_site_label
_atom_site_fract_x
_atom_site_fract_y
_atom_site_fract_z
K1 0.000 0.000 0.000
K2 0.000 0.500 0.250
Ta1 0.000 0.500 0.750
Cd1 0.000 0.000 0.500
S1 0.157 0.702 0.600
```

=====

[5]
Here is a geometry-optimized K2Cd2Te2S structure from Alexandria via LeMat-Bulk. Energies are from PBE.

Properties
The crystal system is monoclinic. The formation energy from raw total energies is -0.80 eV/atom.

Cell and atoms, written as CIF:
```
data_K2Cd2Te2S
_chemical_formula_sum 'K4 Cd4 Te4 S2'
_symmetry_space_group_name_H-M 'C 1 2/m 1'
_symmetry_Int_Tables_number 12
_cell_length_a 14.916
_cell_length_b 4.582
_cell_length_c 8.366
_cell_angle_alpha 90.00
_cell_angle_beta 122.34
_cell_angle_gamma 90.00
loop_
_symmetry_equiv_pos_as_xyz
'x,y,z'
'-x,-y,-z'
'-x,y,-z'
'x,-y,z'
'x+1/2,y+1/2,z'
'-x+1/2,-y+1/2,-z'
'-x+1/2,y+1/2,-z'
'x+1/2,-y+1/2,z'
loop_
_atom_site_label
_atom_site_fract_x
_atom_site_fract_y
_atom_site_fract_z
K1 0.059 0.000 0.301
Cd1 0.188 0.500 0.076
Te1 0.184 0.500 0.718
S1 0.000 0.500 0.000
```

=====

[6]
Here is a geometry-optimized K2CdTeS4 structure from Alexandria via LeMat-Bulk. Energies are from PBE.

Properties
The crystal system is orthorhombic. The formation energy from raw total energies is -0.63 eV/atom.

Cell and atoms, written as CIF:
```
data_K2CdTeS4
_chemical_formula_sum 'K8 Cd4 Te4 S16'
_symmetry_space_group_name_H-M 'I m a 2'
_symmetry_Int_Tables_number 46
_cell_length_a 8.493
_cell_length_b 11.986
_cell_length_c 9.108
_cell_angle_alpha 90.00
_cell_angle_beta 90.00
_cell_angle_gamma 90.00
loop_
_symmetry_equiv_pos_as_xyz
'x,y,z'
'-x,-y,z'
'-x+1/2,y,z'
'x+1/2,-y,z'
'x+1/2,y+1/2,z+1/2'
'-x+1/2,-y+1/2,z+1/2'
'-x,y+1/2,z+1/2'
'x,-y+1/2,z+1/2'
loop_
_atom_site_label
_atom_site_fract_x
_atom_site_fract_y
_atom_site_fract_z
K1 0.000 0.000 0.000
K2 0.250 0.234 0.745
Cd1 0.000 0.000 0.411
Te1 0.250 0.714 0.172
S1 0.027 0.715 0.007
S2 0.250 0.010 0.255
S3 0.250 0.525 0.235
```

=====

[7]
Here is a geometry-optimized K2ThCdS4 structure from Alexandria via LeMat-Bulk. Energies are from PBE.

Properties
The crystal system is monoclinic. The formation energy from raw total energies is -1.39 eV/atom.

Cell and atoms, written as CIF:
```
data_K2ThCdS4
_chemical_formula_sum 'K2 Th1 Cd1 S4'
_symmetry_space_group_name_H-M 'P 1 2/m 1'
_symmetry_Int_Tables_number 10
_cell_length_a 7.061
_cell_length_b 4.142
_cell_length_c 7.836
_cell_angle_alpha 90.00
_cell_angle_beta 109.12
_cell_angle_gamma 90.00
loop_
_symmetry_equiv_pos_as_xyz
'x,y,z'
'-x,-y,-z'
'-x,y,-z'
'x,-y,z'
loop_
_atom_site_label
_atom_site_fract_x
_atom_site_fract_y
_atom_site_fract_z
K1 0.000 0.000 0.000
K2 0.500 0.500 0.000
Th1 0.000 0.500 0.500
Cd1 0.500 0.000 0.500
S1 0.224 0.000 0.714
S2 0.268 0.500 0.304
```

=====

[8]
Here is a geometry-optimized KTiCdS2 structure from Alexandria via LeMat-Bulk. Energies are from PBE.

Properties
The crystal system is tetragonal. The formation energy from raw total energies is -0.69 eV/atom.

Cell and atoms, written as CIF:
```
data_KTiCdS2
_chemical_formula_sum 'K1 Ti1 Cd1 S2'
_symmetry_space_group_name_H-M 'P 4/m m m'
_symmetry_Int_Tables_number 123
_symmetry_space_group_name_Hall '-P 4 2'
_cell_length_a 4.825
_cell_length_b 4.825
_cell_length_c 5.392
_cell_angle_alpha 90.00
_cell_angle_beta 90.00
_cell_angle_gamma 90.00
loop_
_atom_site_label
_atom_site_fract_x
_atom_site_fract_y
_atom_site_fract_z
K1 0.000 0.000 0.000
Ti1 0.500 0.500 0.500
Cd1 0.500 0.500 0.000
S1 0.000 0.500 0.500
```

=====

Look up the formation energy from raw total energies of the third one. -0.86 eV/atom

=====

The highest formation energy from raw total energies belongs to which entry? K2CdTeS4

=====

Which value of formation energy from raw total energies does entry 8 give? -0.69 eV/atom